#w
Here is crystalline InPd8Au2 at its relaxed geometry from the Alexandria database. Energies are from PBE.

Calculated values
* mass density: 11.87 g/cm3

```
11
Lattice="-3.651 1.774 -3.073 -5.323 -3.761 -3.940 -6.649 -1.457 3.013" Properties=species:S:1:pos:R:3 pbc="T T T"
In -1.826 0.887 -1.536
Pd -5.249 0.854 -2.415
Pd -10.093 -0.795 -1.658
Pd -3.383 -0.998 -2.622
Pd -8.868 -2.691 -3.327
Pd -6.755 -0.753 -0.672
Pd -5.591 -0.989 -4.390
Pd -5.530 -2.648 -2.342
Pd -10.374 -4.297 -1.584
Au -4.195 -1.718 -0.053
Au -7.776 -3.500 -0.874
```

#x
Here is crystalline InPd8Au2 at its relaxed geometry from the Alexandria database. Energies are from PBE.

Calculated values
* mass density: 11.81 g/cm3

```
11
Lattice="-4.236 -0.353 -0.934 1.430 -4.582 -4.759 -0.967 -3.495 5.705" Properties=species:S:1:pos:R:3 pbc="T T T"
In -2.118 -0.176 -0.467
Pd 0.702 -6.864 -0.596
Pd 0.068 -6.577 2.169
Pd -1.809 -5.581 0.166
Pd -2.505 -3.935 2.704
Pd -1.268 -4.495 -2.693
Pd -1.964 -2.849 -0.154
Pd -3.841 -1.853 -2.158
Pd -4.474 -1.565 0.608
Au 0.530 -4.174 -0.828
Au -0.066 -3.904 1.774
```

The structure with the greatest stability is #x.